Zr2SnAu after structural relaxation, computed with PBE.

Output
Space group: No. 123
Volume: 83.69 Å³ per cell
Formation energy: -490 meV per atom
N(E_F): 3.3 states/eV/cell
Calculated density: 9.88 g cm⁻³

Cell lengths 4.389, 4.389, 4.344 Å; angles 90.00, 90.00, 90.00 degrees
Sites, in units of the cell vectors:
Zr: 0.000 0.500 0.000
Zr: 0.500 0.000 0.000
Sn: 0.000 0.000 0.500
Au: 0.500 0.500 0.500


NaTl2TcO6 after structural relaxation, computed with PBE.

Output
Space group: No. 164
E_tot: -55.46 eV for the cell shown
Volume: 209.97 Å³ per cell
N(E_F): 3.3 states/eV/cell
Calculated density: 4.95 g cm⁻³

Cell lengths 6.299, 6.299, 6.111 Å; angles 90.00, 90.00, 120.00 degrees
Sites, in units of the cell vectors:
Na: 0.000 0.000 0.000
Tl: 0.333 0.667 0.582
Tl: 0.667 0.333 0.418
Tc: 0.000 0.000 0.500
O: 0.141 0.281 0.688
O: 0.141 0.859 0.688
O: 0.281 0.141 0.312
O: 0.719 0.859 0.688
O: 0.859 0.141 0.312
O: 0.859 0.719 0.312


Al2C after structural relaxation, computed with PBE.

Output
Space group: No. 12
Volume: 39.87 Å³ per cell
Formation energy: 546 meV per atom
N(E_F): 1.1 states/eV/cell
Calculated density: 2.75 g cm⁻³

Cell lengths 4.934, 4.934, 2.856 Å; angles 96.49, 96.49, 35.27 degrees
Sites, in units of the cell vectors:
Al: 0.133 0.133 0.233
Al: 0.867 0.867 0.767
C: 0.500 0.500 0.000


BaCr3Sb after structural relaxation, computed with PBE.

Output
Space group: No. 221
E_tot: -24.06 eV for the cell shown
Volume: 142.59 Å³ per cell
N(E_F): 7.0 states/eV/cell
Calculated density: 4.83 g cm⁻³

Cell lengths 5.224, 5.224, 5.224 Å; angles 90.00, 90.00, 90.00 degrees
Sites, in units of the cell vectors:
Ba: 0.000 0.000 0.000
Cr: 0.000 0.000 0.500
Cr: 0.000 0.500 0.000
Cr: 0.500 0.000 0.000
Sb: 0.500 0.500 0.500


LiTc2Au2 after structural relaxation, computed with PBE.

Output
Space group: No. 139
Volume: 87.54 Å³ per cell
Formation energy: 234 meV per atom
Offset from the most stable computed form: 0.00 eV per formula unit
N(E_F): 3.5 states/eV/cell
Calculated density: 11.32 g cm⁻³

Cell lengths 7.632, 7.632, 7.632 Å; angles 153.63, 153.63, 37.63 degrees
Sites, in units of the cell vectors:
Li: 0.000 0.000 0.000
Tc: 0.250 0.750 0.500
Tc: 0.750 0.250 0.500
Au: 0.407 0.407 0.000
Au: 0.593 0.593 0.000


Pr2GeCl after structural relaxation, computed with PBE.

Output
Space group: No. 166
Volume: 112.19 Å³ per cell
Offset from the most stable computed form: 0.00 eV per formula unit
N(E_F): 2.0 states/eV/cell
Calculated density: 5.77 g cm⁻³

Cell lengths 7.379, 7.379, 7.379 Å; angles 34.03, 34.03, 34.03 degrees
Sites, in units of the cell vectors:
Pr: 0.243 0.243 0.243
Pr: 0.757 0.757 0.757
Ge: 0.500 0.500 0.500
Cl: 0.000 0.000 0.000


Nd2Pd5Au5 after structural relaxation, computed with PBE.

Output
Space group: No. 47
Volume: 238.85 Å³ per cell
Formation energy: -550 meV per atom
Offset from the most stable computed form: 0.00 eV per formula unit
N(E_F): 3.0 states/eV/cell
Calculated density: 12.55 g cm⁻³

Cell lengths 4.614, 5.470, 9.464 Å; angles 90.00, 90.00, 90.00 degrees
Sites, in units of the cell vectors:
Nd: 0.000 0.000 0.000
Nd: 0.000 0.500 0.500
Pd: 0.000 0.000 0.334
Pd: 0.000 0.000 0.666
Pd: 0.000 0.500 0.163
Pd: 0.000 0.500 0.837
Pd: 0.500 0.500 0.000
Au: 0.500 0.000 0.500
Au: 0.500 0.250 0.247
Au: 0.500 0.250 0.753
Au: 0.500 0.750 0.247
Au: 0.500 0.750 0.753


RbTcAgI2 after structural relaxation, computed with PBE.

Output
Space group: No. 123
Volume: 264.13 Å³ per cell
Offset from the most stable computed form: 0.00 eV per formula unit
N(E_F): 6.8 states/eV/cell
Calculated density: 3.43 g cm⁻³

Cell lengths 6.641, 6.641, 5.989 Å; angles 90.00, 90.00, 90.00 degrees
Sites, in units of the cell vectors:
Rb: 0.000 0.000 0.000
Tc: 0.500 0.500 0.500
Ag: 0.000 0.000 0.500
I: 0.000 0.500 0.000
I: 0.500 0.000 0.000